# 1
Below is BeH4NF3 after structural relaxation, with properties calculated at the GGA-PBEsol level.

Structure (POSCAR):
```
BeH4NF3
1.0
5.8038 0.0000 0.0000
0.0000 4.5060 0.0000
-5.7745 0.0000 13.3798
Be H N F
4 16 4 12
Direct
0.0000 0.0279 0.0000 Be
0.0000 0.9721 0.5000 Be
0.2730 0.4722 0.6228 Be
0.2730 0.5278 0.1228 Be
0.2904 0.3773 0.4287 H
0.2904 0.6227 0.9287 H
0.3872 0.4016 0.3341 H
0.3872 0.5984 0.8341 H
0.5502 0.4105 0.9440 H
0.5502 0.5895 0.4440 H
0.5596 0.2092 0.4409 H
0.5596 0.7908 0.9409 H
0.7120 0.2917 0.1815 H
0.7120 0.7083 0.6815 H
0.7212 0.0888 0.6782 H
0.7212 0.9112 0.1782 H
0.8839 0.0988 0.2881 H
0.8839 0.9012 0.7881 H
0.9812 0.1236 0.1937 H
0.9812 0.8764 0.6937 H
0.4481 0.3977 0.4124 N
0.4481 0.6023 0.9124 N
0.8233 0.1030 0.2099 N
0.8233 0.8970 0.7099 N
0.0196 0.1249 0.4098 F
0.0196 0.8751 0.9098 F
0.1063 0.1835 0.5948 F
0.1063 0.8165 0.0948 F
0.1665 0.3166 0.0279 F
0.1665 0.6834 0.5279 F
0.2528 0.3746 0.2127 F
0.2528 0.6254 0.7127 F
0.5468 0.3978 0.6404 F
0.5468 0.6022 0.1404 F
0.7258 0.1017 0.9821 F
0.7258 0.8983 0.4821 F
```

* D(E_F): 0.000 states/eV/atom
* total energy: -5.266 eV/atom

=====

# 2
Below is K2MnPCO7 after structural relaxation, with properties calculated at the GGA-PBEsol level.

Structure (POSCAR):
```
K2MnPCO7
1.0
5.2994 0.0000 0.0000
0.0000 7.2219 0.0000
-0.2732 0.0000 9.3607
K Mn P C O
4 2 2 2 14
Direct
0.2444 0.0280 0.2454 K
0.2444 0.4720 0.2454 K
0.7556 0.5280 0.7546 K
0.7556 0.9720 0.7546 K
0.2858 0.2500 0.6382 Mn
0.7142 0.7500 0.3618 Mn
0.2227 0.7500 0.5760 P
0.7773 0.2500 0.4240 P
0.2343 0.2500 0.8910 C
0.7657 0.7500 0.1090 C
0.0483 0.2500 0.7934 O
0.0650 0.2500 0.4760 O
0.2049 0.2500 0.0215 O
0.2708 0.5726 0.6624 O
0.2708 0.9274 0.6624 O
0.3864 0.7500 0.4390 O
0.4531 0.2500 0.8276 O
0.5469 0.7500 0.1724 O
0.6136 0.2500 0.5610 O
0.7292 0.0726 0.3376 O
0.7292 0.4274 0.3376 O
0.7951 0.7500 0.9785 O
0.9350 0.7500 0.5240 O
0.9517 0.7500 0.2066 O
```

* raw formation energy: -1.913 eV per atom

=====

# 3
Below is NbH3I after structural relaxation, with properties calculated at the GGA-PBEsol level.

Structure (POSCAR):
```
NbH3I
1.0
3.8504 0.0000 0.0000
0.0000 3.8504 0.0000
0.0000 0.0000 3.8504
Nb H I
1 3 1
Direct
0.0000 0.0000 0.0000 Nb
0.0000 0.5000 0.5000 H
0.5000 0.0000 0.5000 H
0.5000 0.5000 0.0000 H
0.5000 0.5000 0.5000 I
```

* D(E_F): 0.658 states/eV/atom
* E above lowest polymorph: 5.74 eV/f.u.

=====

# 4
Below is Tl2CoMo after structural relaxation, with properties calculated at the GGA-PBEsol level.

Structure (POSCAR):
```
Tl2CoMo
1.0
2.9970 0.0000 0.0000
0.0000 2.9970 0.0000
0.0000 0.0000 8.3313
Tl Co Mo
2 1 1
Direct
0.0000 0.0000 0.0000 Tl
0.5000 0.5000 0.3429 Tl
0.0000 0.0000 0.5880 Co
0.5000 0.5000 0.7351 Mo
```

* D(E_F): 0.701 states/eV/atom
* E above lowest polymorph: 0.00 eV/f.u.
* ΔE_f: 0.436 eV per atom